AgIr4 after structural relaxation. Source: Alexandria via LeMat-Bulk, functional PBE-GGA.

The structure in extended XYZ format:
```
5
Lattice="-0.646 1.667 6.465 1.723 5.370 3.631 -2.859 -2.427 -5.561" Properties=species:S:1:pos:R:3 pbc="T T T"
Ir -1.483 1.379 2.976
Ag 0.000 0.000 0.000
Ir -0.299 3.231 1.559
Ir 0.430 2.811 4.033
Ir 0.647 4.226 6.063
```

Summary:
Total energy ... -7.142 eV/atom
N(E_F) ... 5.3 states/eV/cell
Formation enthalpy at 0 K ... 0.52 eV/atom